Record 1
An optimized crystal structure of YMg14C, computed with PBE.

The structure in POSCAR format:
```
YMg14C
1.0
-5.597 -1.698 -2.644
4.072 -4.511 2.069
-4.300 0.227 8.956
Y Mg C
1 14 1
direct
0.000 0.000 0.000
0.017 0.509 0.000
0.985 0.492 0.500
0.491 0.983 0.000
0.508 0.015 0.500
0.491 0.509 0.000
0.508 0.492 0.500
0.156 0.844 0.277
0.156 0.844 0.723
0.156 0.312 0.277
0.156 0.312 0.723
0.688 0.844 0.277
0.688 0.844 0.723
0.667 0.333 0.238
0.667 0.333 0.762
0.000 0.000 0.500
```

Calculated values
Crystal system: hexagonal
Symmetry: P-6m2
Energy of formation (meV/atom): 261
V (Å³/cell): 354.6
Fermi-level density of states (states/eV/cell): 9.3



Record 2
An optimized crystal structure of KZrAl2, computed with PBE.

The structure in POSCAR format:
```
KZrAl2
1.0
-3.369 3.778 -0.055
-4.221 -0.333 2.774
-0.582 2.932 4.085
K Al Zr
1 2 1
direct
0.500 0.500 0.500
0.000 0.000 0.000
0.250 0.250 0.250
0.750 0.750 0.750
```

Calculated values
Crystal system: cubic
Symmetry: F-43m
Energy of formation (meV/atom): 691
V (Å³/cell): 91.7
Fermi-level density of states (states/eV/cell): 3.3



> Look up the V of the second one.

91.7 Å³/cell



Repeat the second record exactly.
An optimized crystal structure of KZrAl2, computed with PBE.

The structure in POSCAR format:
```
KZrAl2
1.0
-3.369 3.778 -0.055
-4.221 -0.333 2.774
-0.582 2.932 4.085
K Al Zr
1 2 1
direct
0.500 0.500 0.500
0.000 0.000 0.000
0.250 0.250 0.250
0.750 0.750 0.750
```

Calculated values
Crystal system: cubic
Symmetry: F-43m
Energy of formation (meV/atom): 691
V (Å³/cell): 91.7
Fermi-level density of states (states/eV/cell): 3.3



> Which value of Fermi-level density of states does entry 2 give?

3.3 states/eV/cell